1.
The following is a DFT calculation (PBE) of a relaxed structure of TeRu2Br.

Cell: 4.650 4.650 3.252 Å, 90.00 90.00 89.95°
Each line ends with the local moment (μB).
Fractional coordinates of all 4 atoms:
Ru1 0.000 0.000 0.000  0.41
Ru2 0.500 0.500 0.000  0.41
Te1 0.500 0.000 0.500  -0.01
Br1 0.000 0.500 0.500  0.03

Results
For the raw formation energy, the calculation gives 2.8 eV/f.u. The symmetry is No. 123. The relative energy among the computed polymorphs is 126 kJ/mol of formula units. As for the total magnetization: 0.84 Bohr magnetons per cell.


2.
The following is a DFT calculation (PBE) of a relaxed structure of Sr2Li2Ni15.

Cell: 6.360 6.360 6.360 Å, 84.18 84.18 84.18°
Each line ends with the local moment (μB).
Fractional coordinates of all 19 atoms:
Ni1 0.292 0.708 0.000  0.54
Ni2 0.000 0.500 0.000  0.50
Ni3 0.000 0.292 0.708  0.54
Ni4 0.708 0.000 0.292  0.54
Ni5 0.659 0.152 0.659  0.48
Ni6 0.848 0.341 0.341  0.48
Ni7 0.341 0.848 0.341  0.48
Ni8 0.341 0.341 0.848  0.48
Ni9 0.500 0.000 0.000  0.50
Ni10 0.659 0.659 0.152  0.48
Ni11 0.292 0.000 0.708  0.54
Ni12 0.000 0.000 0.500  0.50
Ni13 0.708 0.292 0.000  0.54
Ni14 0.000 0.708 0.292  0.54
Ni15 0.152 0.659 0.659  0.48
Li1 0.904 0.904 0.904  -0.02
Li2 0.096 0.096 0.096  -0.02
Sr1 0.344 0.344 0.344  -0.03
Sr2 0.656 0.656 0.656  -0.03

Results
The formation energy comes out at -0.046 eV per atom. The symmetry is No. 166. As for the total magnetization: 6.91 Bohr magnetons per cell.


3.
The following is a DFT calculation (PBE) of a relaxed structure of Pm2PbCl.

Cell: 4.741 4.741 8.967 Å, 74.67 74.67 60.00°
Fractional coordinates of all 4 atoms:
Pm1 0.893 0.893 0.320
Pm2 0.107 0.107 0.680
Cl1 0.000 0.000 0.000
Pb1 0.500 0.500 0.500

Results
For the raw formation energy, the calculation gives -3.3 eV/f.u. The symmetry is No. 166. The relative energy among the computed polymorphs is 14 kJ/mol of formula units. As for the total magnetization: 0.00 Bohr magnetons per cell.


4.
The following is a DFT calculation (PBE) of a relaxed structure of Y6Tl2Pd.

Cell: 6.179 8.611 9.907 Å, 90.00 87.75 90.00°
Fractional coordinates of all 18 atoms:
Y1 0.884 0.676 0.555
Y2 0.607 0.180 0.556
Y3 0.111 0.030 0.769
Y4 0.611 0.470 0.269
Y5 0.616 0.176 0.945
Y6 0.116 0.324 0.445
Y7 0.107 0.320 0.056
Y8 0.893 0.680 0.944
Y9 0.393 0.820 0.444
Y10 0.384 0.824 0.055
Y11 0.889 0.970 0.231
Y12 0.389 0.530 0.731
Pd1 0.000 0.000 0.500
Pd2 0.500 0.500 0.000
Tl1 0.920 0.377 0.751
Tl2 0.420 0.123 0.251
Tl3 0.080 0.623 0.249
Tl4 0.580 0.877 0.749

Results
The formation energy comes out at -0.303 eV per atom. The symmetry is No. 14. The relative energy among the computed polymorphs is 83 kJ/mol of formula units. As for the total magnetization: 0.00 Bohr magnetons per cell.


5.
The following is a DFT calculation (PBE) of a relaxed structure of ErTmCoRu.

Cell: 4.710 4.710 4.710 Å, 60.00 60.00 60.00°
Fractional coordinates of all 4 atoms:
Co1 0.250 0.250 0.250
Er1 0.000 0.000 0.000
Tm1 0.500 0.500 0.500
Ru1 0.750 0.750 0.750

Results
The formation energy comes out at -0.323 eV per atom. The symmetry is No. 216. The relative energy among the computed polymorphs is 0 kJ/mol of formula units. As for the total magnetization: 0.00 Bohr magnetons per cell.


6.
The following is a DFT calculation (PBE) of a relaxed structure of LiSmTm.

Cell: 3.478 3.478 8.332 Å, 90.00 90.00 120.00°
Fractional coordinates of all 3 atoms:
Tm1 0.667 0.333 0.328
Li1 0.000 0.000 0.004
Sm1 0.333 0.667 0.668

Results
The formation energy comes out at 0.111 eV per atom. The symmetry is No. 156. The relative energy among the computed polymorphs is 8 kJ/mol of formula units. As for the total magnetization: 0.00 Bohr magnetons per cell.


7.
The following is a DFT calculation (PBE) of a relaxed structure of PrDy2Pt9.

Cell: 5.442 5.442 9.383 Å, 73.14 73.14 60.00°
Fractional coordinates of all 12 atoms:
Pt1 0.333 0.333 0.001
Pt2 0.919 0.412 0.258
Pt3 0.667 0.667 0.999
Pt4 0.588 0.588 0.742
Pt5 0.588 0.081 0.742
Pt6 0.412 0.919 0.258
Pt7 0.081 0.588 0.742
Pt8 0.412 0.412 0.258
Pt9 0.500 0.500 0.500
Pr1 0.000 0.000 0.000
Dy1 0.860 0.860 0.420
Dy2 0.140 0.140 0.580

Results
The formation energy comes out at -0.957 eV per atom. The symmetry is No. 166. As for the total magnetization: 0.00 Bohr magnetons per cell.


8.
The following is a DFT calculation (PBE) of a relaxed structure of TbScTi.

Cell: 3.440 3.415 12.906 Å, 82.40 90.00 90.00°
Fractional coordinates of all 6 atoms:
Ti1 0.250 0.272 0.456
Ti2 0.750 0.728 0.544
Sc1 0.250 0.156 0.689
Sc2 0.750 0.844 0.311
Tb1 0.250 0.441 0.118
Tb2 0.750 0.559 0.882

Results
The formation energy comes out at 0.144 eV per atom. The symmetry is No. 63. The relative energy among the computed polymorphs is 0 kJ/mol of formula units. As for the total magnetization: 0.00 Bohr magnetons per cell.


9.
The following is a DFT calculation (PBE) of a relaxed structure of Hg3P.

Cell: 5.942 5.942 6.125 Å, 90.00 90.00 120.00°
Fractional coordinates of all 8 atoms:
P1 0.667 0.333 0.750
P2 0.333 0.667 0.250
Hg1 0.336 0.168 0.250
Hg2 0.168 0.832 0.750
Hg3 0.832 0.168 0.250
Hg4 0.664 0.832 0.750
Hg5 0.832 0.664 0.250
Hg6 0.168 0.336 0.750

Results
The formation energy comes out at 0.427 eV per atom. The symmetry is No. 194. The relative energy among the computed polymorphs is 135 kJ/mol of formula units. As for the total magnetization: 0.00 Bohr magnetons per cell.


10.
The following is a DFT calculation (PBE) of a relaxed structure of YGaSi2.

Cell: 7.330 7.330 5.990 Å, 52.28 52.28 90.00°
Fractional coordinates of all 8 atoms:
Si1 0.375 0.422 0.750
Si2 0.578 0.125 0.250
Si3 0.875 0.828 0.750
Si4 0.172 0.625 0.250
Y1 0.000 0.000 0.000
Y2 0.750 0.250 0.500
Ga1 0.500 0.500 0.000
Ga2 0.250 0.750 0.500

Results
For the raw formation energy, the calculation gives -0.7 eV/f.u. The symmetry is No. 122. As for the total magnetization: 0.00 Bohr magnetons per cell.


11.
The following is a DFT calculation (PBE) of a relaxed structure of VTe2OsI.

Cell: 5.172 5.172 5.503 Å, 90.00 90.00 90.00°
Each line ends with the local moment (μB).
Fractional coordinates of all 5 atoms:
I1 0.000 0.000 0.500  0.01
V1 0.500 0.500 0.500  0.24
Te1 0.000 0.500 0.000  -0.01
Te2 0.500 0.000 0.000  -0.01
Os1 0.000 0.000 0.000  -0.26

Results
For the raw formation energy, the calculation gives 6.6 eV/f.u. The symmetry is No. 123. The relative energy among the computed polymorphs is 0 kJ/mol of formula units. As for the total magnetization: 0.08 Bohr magnetons per cell.


12.
The following is a DFT calculation (PBE) of a relaxed structure of MgZrZn.

Cell: 3.045 3.045 7.542 Å, 90.00 90.00 120.00°
Fractional coordinates of all 3 atoms:
Zr1 0.333 0.667 0.653
Mg1 0.000 0.000 0.017
Zn1 0.667 0.333 0.329

Results
The formation energy comes out at 0.008 eV per atom. The symmetry is No. 156. As for the total magnetization: 0.00 Bohr magnetons per cell.